Entry 1:
Density functional theory data (PBE) for ZrSiHg2 after structural relaxation.

abc: 4.9295 4.9295 4.9295
angles: 60.00 60.00 60.00
With the nearest neighbours (Å) after each atom.
Atoms (fractional coordinates):
Zr  0.5000  0.5000  0.5000  8 Hg 3.02
Si  0.0000  0.0000  0.0000  8 Hg 3.02
Hg  0.2500  0.2500  0.2500  4 Zr 3.02, 4 Si 3.02
Hg  0.7500  0.7500  0.7500  4 Zr 3.02, 4 Si 3.02

- Energy above the lowest structure with this stoichiometry: 437.3 meV/atom
- VASP energy: -3.297 eV/atom
- Density of states at the Fermi level: 3.4 states/eV per cell
- Formation energy without anion corrections: 347 meV per atom

Entry 2:
Density functional theory data (PBE) for ZrSiHg2 after structural relaxation.

abc: 7.8139 7.8139 6.1969
angles: 50.91 50.91 90.00
With the nearest neighbours (Å) after each atom.
Atoms (fractional coordinates):
Zr  0.7500  0.2500  0.5000  2 Si 2.81, 4 Hg 3.04
Si  0.5000  0.5000  0.0000  4 Hg 2.67, 2 Zr 2.81
Hg  0.5900  0.1250  0.2500  2 Si 2.67, 2 Hg 2.86
Zr  0.0000  0.0000  0.0000  2 Si 2.81, 4 Hg 3.04
Hg  0.3750  0.4100  0.7500  2 Si 2.67, 2 Hg 2.86
Hg  0.1600  0.6250  0.2500  2 Si 2.67, 2 Hg 2.86
Si  0.2500  0.7500  0.5000  4 Hg 2.67, 2 Zr 2.81
Hg  0.8750  0.8400  0.7500  2 Si 2.67, 2 Hg 2.86

- Energy above the lowest structure with this stoichiometry: 177.3 meV/atom
- VASP energy: -3.557 eV/atom
- Density of states at the Fermi level: 1.6 states/eV per cell
- Formation energy without anion corrections: 87 meV per atom

Entry 3:
Density functional theory data (PBE) for ZrSi3Hg after structural relaxation.

abc: 4.9215 4.9215 4.9215
angles: 90.00 90.00 90.00
With the nearest neighbours (Å) after each atom.
Atoms (fractional coordinates):
Hg  0.0000  0.0000  0.0000  6 Si 2.46
Si  0.5000  0.0000  0.0000  2 Hg 2.46
Si  0.0000  0.0000  0.5000  2 Hg 2.46
Si  0.0000  0.5000  0.0000  2 Hg 2.46
Zr  0.5000  0.5000  0.5000  12 Si 3.48

- Energy above the lowest structure with this stoichiometry: 493.5 meV/atom
- VASP energy: -3.764 eV/atom
- Density of states at the Fermi level: 4.7 states/eV per cell
- Formation energy without anion corrections: 1260 meV per atom

- Which of these has the highest VASP energy?
  number 1

What did the third record say?
Density functional theory data (PBE) for ZrSi3Hg after structural relaxation.

abc: 4.9215 4.9215 4.9215
angles: 90.00 90.00 90.00
With the nearest neighbours (Å) after each atom.
Atoms (fractional coordinates):
Hg  0.0000  0.0000  0.0000  6 Si 2.46
Si  0.5000  0.0000  0.0000  2 Hg 2.46
Si  0.0000  0.0000  0.5000  2 Hg 2.46
Si  0.0000  0.5000  0.0000  2 Hg 2.46
Zr  0.5000  0.5000  0.5000  12 Si 3.48

- Energy above the lowest structure with this stoichiometry: 493.5 meV/atom
- VASP energy: -3.764 eV/atom
- Density of states at the Fermi level: 4.7 states/eV per cell
- Formation energy without anion corrections: 1260 meV per atom

- Among the records above, which one has the lowest VASP energy?
  ZrSi3Hg

- VASP energy of number 3 (ZrSi3Hg)?
  -3.764 eV/atom